Below is crystalline BeMoN2O at its relaxed geometry, with properties calculated at the PBE with a Hubbard U level.

Results
SG = No. 123
Total magnetic moment = 0.01 μB/cell
Energy = -5.971 eV per atom

Cell and atoms, written as extended XYZ:
```
5
Lattice="3.4806 0.0000 0.0000 0.0000 3.4806 0.0000 0.0000 0.0000 3.4501" Properties=species:S:1:pos:R:3 pbc="T T T"
N 1.7403 0.0000 0.0000
N 0.0000 1.7403 0.0000
Mo 1.7403 1.7403 1.7251
O 0.0000 0.0000 1.7251
Be 0.0000 0.0000 0.0000
```